Entry from Alexandria via LeMat-Bulk: a relaxed structure of CsMgNb (PBE).

a = 5.7860 Å, b = 5.7860 Å, c = 8.6633 Å
α = 90.00°, β = 90.00°, γ = 120.00°
Atoms (fractional coordinates):
Cs (0.0000, 0.0000, 0.0000)
Cs (0.0000, 0.0000, 0.5000)
Mg (0.6667, 0.3333, 0.1739)
Mg (0.6667, 0.3333, 0.8261)
Nb (0.3333, 0.6667, 0.1252)
Nb (0.3333, 0.6667, 0.8748)

Values from the calculation:
calculated volume = 41.86 Å³/atom
formation energy = 311 kJ/mol of formula units
distance to the lowest polymorph of the same formula = 587 meV per atom

***

Entry from Alexandria via LeMat-Bulk: a relaxed structure of TaO2 (PBE).

a = 5.0738 Å, b = 5.0824 Å, c = 5.6320 Å
α = 106.63°, β = 106.73°, γ = 108.11°
Atoms (fractional coordinates):
Ta (0.0000, 0.0000, 0.0000)
Ta (0.1588, 0.8407, 0.5006)
Ta (0.8412, 0.1593, 0.4994)
O (0.0171, 0.3706, 0.2793)
O (0.2255, 0.2259, 0.8259)
O (0.3706, 0.0157, 0.2783)
O (0.6294, 0.9843, 0.7217)
O (0.7745, 0.7741, 0.1741)
O (0.9829, 0.6294, 0.7207)

Values from the calculation:
calculated volume = 13.38 Å³/atom
formation energy without anion corrections = -2.455 eV per atom

***

Entry from Alexandria via LeMat-Bulk: a relaxed structure of Fe2WI (PBE).

a = 4.4333 Å, b = 4.4333 Å, c = 4.4333 Å
α = 60.00°, β = 60.00°, γ = 60.00°
Atoms (fractional coordinates):
Fe (0.2500, 0.2500, 0.2500)
Fe (0.7500, 0.7500, 0.7500)
W (0.0000, 0.0000, 0.0000)
I (0.5000, 0.5000, 0.5000)

Values from the calculation:
calculated volume = 15.40 Å³/atom
distance to the lowest polymorph of the same formula = 0 meV per atom
formation energy without anion corrections = 1.148 eV per atom

***

Entry from Alexandria via LeMat-Bulk: a relaxed structure of NiSn2Pd (PBE).

a = 6.8845 Å, b = 6.8845 Å, c = 6.8845 Å
α = 31.28°, β = 31.28°, γ = 31.28°
Atoms (fractional coordinates):
Ni (0.0000, 0.0000, 0.0000)
Sn (0.4134, 0.4134, 0.4134)
Sn (0.5942, 0.5942, 0.5942)
Pd (0.8423, 0.8423, 0.8423)

Values from the calculation:
calculated volume = 19.52 Å³/atom
formation energy = -69 kJ/mol of formula units
distance to the lowest polymorph of the same formula = 42 meV per atom

***

Entry from Alexandria via LeMat-Bulk: a relaxed structure of Rb2CdCu2 (PBE).

a = 6.1404 Å, b = 6.1404 Å, c = 6.1404 Å
α = 113.07°, β = 113.07°, γ = 102.49°
Atoms (fractional coordinates):
Rb (0.2500, 0.7500, 0.5000)
Rb (0.7500, 0.2500, 0.5000)
Cd (0.0000, 0.0000, 0.0000)
Cu (0.3451, 0.3451, 0.0000)
Cu (0.6549, 0.6549, 0.0000)

Values from the calculation:
calculated volume = 35.25 Å³/atom
formation energy = 153 kJ/mol of formula units
distance to the lowest polymorph of the same formula = 15 meV per atom

***

Entry from Alexandria via LeMat-Bulk: a relaxed structure of PrTlInSn (PBE).

a = 4.6846 Å, b = 4.7783 Å, c = 4.9192 Å
α = 90.00°, β = 90.00°, γ = 90.00°
Atoms (fractional coordinates):
Pr (0.0000, 0.0000, 0.0000)
Tl (0.5000, 0.0000, 0.5000)
In (0.0000, 0.5000, 0.5000)
Sn (0.5000, 0.5000, 0.0000)

Values from the calculation:
calculated volume = 27.53 Å³/atom
formation energy = -170 kJ/mol of formula units

***

Entry from Alexandria via LeMat-Bulk: a relaxed structure of AcDy3 (PBE).

a = 3.7384 Å, b = 5.8662 Å, c = 6.3307 Å
α = 90.00°, β = 90.00°, γ = 90.00°
Atoms (fractional coordinates):
Ac (0.0000, 0.0000, 0.0000)
Dy (0.0000, 0.5000, 0.6557)
Dy (0.5000, 0.0000, 0.4972)
Dy (0.5000, 0.5000, 0.1649)

Values from the calculation:
calculated volume = 34.71 Å³/atom
formation energy = 25 kJ/mol of formula units
distance to the lowest polymorph of the same formula = 15 meV per atom

***

Entry from Alexandria via LeMat-Bulk: a relaxed structure of SrCeEuNbO6 (PBE).

a = 5.8798 Å, b = 6.0480 Å, c = 8.4022 Å
α = 89.91°, β = 89.50°, γ = 89.94°
Atoms (fractional coordinates):
Sr (0.0125, 0.0474, 0.2487)
Sr (0.9875, 0.9526, 0.7513)
Ce (0.0000, 0.5000, 0.0000)
Ce (0.5000, 0.0000, 0.5000)
Eu (0.4830, 0.5500, 0.2501)
Eu (0.5170, 0.4500, 0.7499)
Nb (0.0000, 0.5000, 0.5000)
Nb (0.5000, 0.0000, 0.0000)
O (0.1071, 0.5324, 0.7321)
O (0.1885, 0.7764, 0.4424)
O (0.2199, 0.8086, 0.0483)
O (0.2793, 0.3091, 0.4456)
O (0.3160, 0.2812, 0.0588)
O (0.4035, 0.0425, 0.7672)
O (0.5965, 0.9575, 0.2328)
O (0.6840, 0.7188, 0.9412)
O (0.7207, 0.6909, 0.5544)
O (0.7801, 0.1914, 0.9517)
O (0.8115, 0.2236, 0.5576)
O (0.8929, 0.4676, 0.2679)

Values from the calculation:
calculated volume = 14.94 Å³/atom
distance to the lowest polymorph of the same formula = 0 meV per atom
formation energy without anion corrections = -2.975 eV per atom

***

Entry from Alexandria via LeMat-Bulk: a relaxed structure of TaNbS2 (PBE).

a = 4.3803 Å, b = 4.3803 Å, c = 4.3803 Å
α = 60.00°, β = 60.00°, γ = 60.00°
Atoms (fractional coordinates):
Ta (0.0000, 0.0000, 0.0000)
Nb (0.5000, 0.5000, 0.5000)
S (0.2500, 0.2500, 0.2500)
S (0.7500, 0.7500, 0.7500)

Values from the calculation:
calculated volume = 14.86 Å³/atom
distance to the lowest polymorph of the same formula = 358 meV per atom
formation energy without anion corrections = -0.491 eV per atom

***

Entry from Alexandria via LeMat-Bulk: a relaxed structure of SbPOsCl2 (PBE).

a = 5.0835 Å, b = 5.0835 Å, c = 5.4090 Å
α = 90.00°, β = 90.00°, γ = 90.00°
Atoms (fractional coordinates):
Sb (0.0000, 0.0000, 0.0000)
P (0.0000, 0.0000, 0.5000)
Os (0.5000, 0.5000, 0.5000)
Cl (0.0000, 0.5000, 0.0000)
Cl (0.5000, 0.0000, 0.0000)

Values from the calculation:
calculated volume = 27.96 Å³/atom
distance to the lowest polymorph of the same formula = 903 meV per atom
formation energy without anion corrections = 1.425 eV per atom

***

Entry from Alexandria via LeMat-Bulk: a relaxed structure of MgFeAsBr2 (PBE).

a = 5.0346 Å, b = 5.0346 Å, c = 5.4708 Å
α = 90.00°, β = 90.00°, γ = 90.00°
Atoms (fractional coordinates):
Mg (0.0000, 0.0000, 0.0000)
Fe (0.5000, 0.5000, 0.5000)
As (0.0000, 0.0000, 0.5000)
Br (0.0000, 0.5000, 0.0000)
Br (0.5000, 0.0000, 0.0000)

Values from the calculation:
calculated volume = 27.73 Å³/atom
distance to the lowest polymorph of the same formula = 253 meV per atom
formation energy without anion corrections = 0.376 eV per atom

***

Entry from Alexandria via LeMat-Bulk: a relaxed structure of Ba4LiOs3O12 (PBE).

a = 7.0583 Å, b = 7.0583 Å, c = 7.0583 Å
α = 109.47°, β = 109.47°, γ = 109.47°
Atoms (fractional coordinates):
Ba (0.0000, 0.0000, 0.5000)
Ba (0.0000, 0.5000, 0.0000)
Ba (0.5000, 0.0000, 0.0000)
Ba (0.5000, 0.5000, 0.5000)
Li (0.0000, 0.0000, 0.0000)
Os (0.0000, 0.5000, 0.5000)
Os (0.5000, 0.0000, 0.5000)
Os (0.5000, 0.5000, 0.0000)
O (0.0000, 0.2649, 0.2649)
O (0.0000, 0.7351, 0.7351)
O (0.2500, 0.5000, 0.7500)
O (0.2500, 0.7500, 0.5000)
O (0.2649, 0.0000, 0.2649)
O (0.2649, 0.2649, 0.0000)
O (0.5000, 0.2500, 0.7500)
O (0.5000, 0.7500, 0.2500)
O (0.7351, 0.0000, 0.7351)
O (0.7351, 0.7351, 0.0000)
O (0.7500, 0.2500, 0.5000)
O (0.7500, 0.5000, 0.2500)

Values from the calculation:
calculated volume = 13.53 Å³/atom
formation energy without anion corrections = -1.826 eV per atom